Entry 1:
A plane-wave DFT calculation with PBE-GGA was carried out for Dy2Pt after structural relaxation.

Calculated values
Formation energy from the elements in eV per atom: -0.95

Structure (extended XYZ):
```
12
Lattice="7.1246 0.0000 0.0000 0.0000 4.7611 0.0000 0.0000 0.0000 8.7648" Properties=species:S:1:pos:R:3 pbc="T T T"
Dy 0.0729 1.1903 1.4786
Dy 1.0300 1.1903 5.0873
Dy 2.5323 3.5708 0.7048
Dy 3.4894 3.5708 5.8610
Dy 3.6353 1.1903 2.9038
Dy 4.5923 1.1903 8.0600
Dy 6.0946 3.5708 3.6776
Dy 7.0517 3.5708 7.2862
Pt 1.7133 1.1903 7.9492
Pt 1.8490 3.5708 3.5668
Pt 5.2756 1.1903 5.1981
Pt 5.4113 3.5708 0.8156
```

Entry 2:
A plane-wave DFT calculation with PBE-GGA was carried out for DyNiSn after structural relaxation.

Structure (extended XYZ):
```
6
Lattice="4.4777 0.0000 0.0000 -2.2389 3.8778 0.0000 0.0000 0.0000 7.1026" Properties=species:S:1:pos:R:3 pbc="T T T"
Dy 0.0000 0.0000 0.0000
Dy 0.0000 0.0000 3.5513
Ni 0.0000 2.5852 2.1804
Ni 2.2389 1.2926 5.7317
Sn 0.0000 2.5852 5.2276
Sn 2.2389 1.2926 1.6762
```

Entry 3:
A plane-wave DFT calculation with PBE-GGA was carried out for DySnAuSe3 after structural relaxation.

Calculated values
Energy above the lowest structure with this stoichiometry in meV/atom: 37

Structure (extended XYZ):
```
24
Lattice="12.2164 0.0000 0.0000 0.0000 4.1889 0.0000 0.0000 0.0000 12.7510" Properties=species:S:1:pos:R:3 pbc="T T T"
Dy 0.2205 1.0472 2.0830
Dy 5.8877 3.1416 8.4585
Dy 6.3287 1.0472 4.2926
Dy 11.9959 3.1416 10.6681
Sn 2.1964 1.0472 7.1971
Sn 3.9118 3.1416 0.8216
Sn 8.3046 1.0472 11.9294
Sn 10.0200 3.1416 5.5539
Au 2.4648 3.1416 5.0576
Au 3.6434 1.0472 11.4331
Au 8.5730 3.1416 1.3179
Au 9.7516 1.0472 7.6934
Se 0.1911 3.1416 4.0721
Se 1.2227 1.0472 12.0713
Se 3.0471 3.1416 8.9247
Se 3.0611 1.0472 2.5492
Se 4.8855 3.1416 5.6958
Se 5.9171 1.0472 10.4476
Se 6.2993 3.1416 2.3034
Se 7.3309 1.0472 7.0552
Se 9.1553 3.1416 10.2019
Se 9.1693 1.0472 3.8263
Se 10.9937 3.1416 0.6797
Se 12.0253 1.0472 8.6789
```

| no. | total magnetization (μB per cell) | VASP energy (eV for the cell shown) |
| --- | --- | --- |
| 1 | 0.006 | -72.418 |
| 2 | 0.004 | -32.120 |
| 3 | 0.008 | -110.710 |